one) Here is a relaxed structure of TlSiPd4 from Alexandria via LeMat-Bulk. Energies are from PBE.

* space-group type: Pnma, No. 62
* magnetic moment: 0.000 μB per atom
* density: 11.0 g cm⁻³

abc: 6.907 3.523 16.406
angles: 90.00 90.00 90.00
Fractional coordinates of all 24 atoms:
Tl 0.249 0.250 0.194
Tl 0.251 0.750 0.694
Tl 0.749 0.250 0.306
Tl 0.751 0.750 0.806
Si 0.248 0.750 0.447
Si 0.252 0.250 0.947
Si 0.748 0.750 0.053
Si 0.752 0.250 0.553
Pd 0.004 0.750 0.563
Pd 0.073 0.750 0.304
Pd 0.124 0.750 0.861
Pd 0.136 0.750 0.043
Pd 0.364 0.250 0.543
Pd 0.376 0.250 0.361
Pd 0.427 0.250 0.804
Pd 0.496 0.250 0.063
Pd 0.504 0.750 0.937
Pd 0.573 0.750 0.196
Pd 0.624 0.750 0.639
Pd 0.636 0.750 0.457
Pd 0.864 0.250 0.957
Pd 0.876 0.250 0.139
Pd 0.927 0.250 0.696
Pd 0.996 0.250 0.437

two) Here is a relaxed structure of TlSiPd4 from Alexandria via LeMat-Bulk. Energies are from PBE.

* space-group type: P2_1/c, No. 14
* magnetic moment: 0.000 μB per atom
* density: 10.6 g cm⁻³

abc: 8.015 5.624 4.602
angles: 90.00 93.41 90.00
Fractional coordinates of all 12 atoms:
Tl 0.000 0.000 0.000
Tl 0.000 0.500 0.500
Si 0.500 0.000 0.500
Si 0.500 0.500 0.000
Pd 0.213 0.102 0.520
Pd 0.213 0.398 0.020
Pd 0.353 0.618 0.531
Pd 0.353 0.882 0.031
Pd 0.647 0.118 0.969
Pd 0.647 0.382 0.469
Pd 0.787 0.602 0.980
Pd 0.787 0.898 0.480

one) (0.108 eV/atom below the next structure)

one) Here is a relaxed structure of TlSiPd2 from Alexandria via LeMat-Bulk. Energies are from PBE.

* space-group type: Fm-3m, No. 225
* magnetic moment: 0.000 μB per atom
* density: 10.8 g cm⁻³

abc: 4.588 4.588 4.588
angles: 60.00 60.00 60.00
Fractional coordinates of all 4 atoms:
Tl 0.000 0.000 0.000
Si 0.500 0.500 0.500
Pd 0.250 0.250 0.250
Pd 0.750 0.750 0.750

two) Here is a relaxed structure of TlSiPd2 from Alexandria via LeMat-Bulk. Energies are from PBE.

* space-group type: I-42d, No. 122
* magnetic moment: 0.000 μB per atom
* density: 9.8 g cm⁻³

abc: 5.885 5.885 5.885
angles: 103.82 103.82 121.48
Fractional coordinates of all 8 atoms:
Tl 0.000 0.000 0.000
Tl 0.750 0.250 0.500
Si 0.250 0.750 0.500
Si 0.500 0.500 0.000
Pd 0.196 0.625 0.071
Pd 0.375 0.446 0.571
Pd 0.554 0.125 0.929
Pd 0.875 0.804 0.429

two) (0.081 eV/atom below the next structure)

one) Here is a relaxed structure of TmSi3Pd3 from Alexandria via LeMat-Bulk. Energies are from PBE.

* space-group type: P6_3/m, No. 176
* magnetic moment: 0.000 μB per atom
* density: 6.9 g cm⁻³

abc: 8.978 8.978 3.950
angles: 90.00 90.00 120.00
Fractional coordinates of all 14 atoms:
Tm 0.333 0.667 0.250
Tm 0.667 0.333 0.750
Si 0.046 0.610 0.750
Si 0.390 0.436 0.750
Si 0.436 0.046 0.250
Si 0.564 0.954 0.750
Si 0.610 0.564 0.250
Si 0.954 0.390 0.250
Pd 0.100 0.368 0.750
Pd 0.268 0.900 0.750
Pd 0.368 0.268 0.250
Pd 0.632 0.732 0.750
Pd 0.732 0.100 0.250
Pd 0.900 0.632 0.250

two) Here is a relaxed structure of TmSi3Pd3 from Alexandria via LeMat-Bulk. Energies are from PBE.

* space-group type: Pm-3n, No. 223
* magnetic moment: 0.000 μB per atom
* density: 6.7 g cm⁻³

abc: 6.567 6.567 6.567
angles: 90.00 90.00 90.00
Fractional coordinates of all 14 atoms:
Tm 0.000 0.000 0.000
Tm 0.500 0.500 0.500
Si 0.000 0.250 0.500
Si 0.000 0.750 0.500
Si 0.250 0.500 0.000
Si 0.500 0.000 0.250
Si 0.500 0.000 0.750
Si 0.750 0.500 0.000
Pd 0.000 0.500 0.250
Pd 0.000 0.500 0.750
Pd 0.250 0.000 0.500
Pd 0.500 0.250 0.000
Pd 0.500 0.750 0.000
Pd 0.750 0.000 0.500

one) (0.265 eV/atom below the next structure)

one) Here is a relaxed structure of YTmSiPd from Alexandria via LeMat-Bulk. Energies are from PBE.

* space-group type: Amm2, No. 38
* magnetic moment: 0.000 μB per atom
* density: 7.4 g cm⁻³

abc: 4.237 5.705 5.705
angles: 40.00 90.00 90.00
Fractional coordinates of all 4 atoms:
Y 0.000 0.000 0.000
Tm 0.500 0.281 0.281
Si 0.000 0.721 0.721
Pd 0.500 0.569 0.569

two) Here is a relaxed structure of YTmSiPd from Alexandria via LeMat-Bulk. Energies are from PBE.

* space-group type: F-43m, No. 216
* magnetic moment: 0.000 μB per atom
* density: 7.6 g cm⁻³

abc: 4.947 4.947 4.947
angles: 60.00 60.00 60.00
Fractional coordinates of all 4 atoms:
Y 0.000 0.000 0.000
Tm 0.500 0.500 0.500
Si 0.250 0.250 0.250
Pd 0.750 0.750 0.750

one) (0.107 eV/atom below the next structure)

one) Here is a relaxed structure of U2Si3Pd from Alexandria via LeMat-Bulk. Energies are from PBE.

* space-group type: Pmm2, No. 25
* magnetic moment: 0.761 μB per atom
* density: 9.8 g cm⁻³

abc: 3.802 4.152 7.135
angles: 90.00 90.00 90.00
Fractional coordinates of all 6 atoms:
U 0.000 0.000 0.000
U 0.000 0.500 0.480
Si 0.500 0.000 0.322
Si 0.500 0.000 0.649
Si 0.500 0.500 0.163
Pd 0.500 0.500 0.824

two) Here is a relaxed structure of U2Si3Pd from Alexandria via LeMat-Bulk. Energies are from PBE.

* space-group type: Cm, No. 8
* magnetic moment: 0.708 μB per atom
* density: 10.2 g cm⁻³

abc: 5.514 5.514 6.668
angles: 127.02 127.02 44.77
Fractional coordinates of all 6 atoms:
U 0.000 0.000 0.000
U 0.111 0.111 0.623
Si 0.387 0.387 0.602
Si 0.704 0.704 0.425
Si 0.715 0.715 0.029
Pd 0.386 0.386 0.218

one) (0.033 eV/atom below the next structure)

one) Here is a relaxed structure of USi2Pd2 from Alexandria via LeMat-Bulk. Energies are from PBE.

* space-group type: Cmc2_1, No. 36
* magnetic moment: 0.471 μB per atom
* density: 9.8 g cm⁻³

abc: 6.027 6.027 7.622
angles: 90.00 90.00 141.71
Fractional coordinates of all 10 atoms:
U 0.089 0.911 0.500
U 0.911 0.089 0.000
Si 0.248 0.752 0.814
Si 0.442 0.558 0.690
Si 0.558 0.442 0.190
Si 0.752 0.248 0.314
Pd 0.187 0.813 0.119
Pd 0.379 0.621 0.363
Pd 0.621 0.379 0.863
Pd 0.813 0.187 0.619

two) Here is a relaxed structure of USi2Pd2 from Alexandria via LeMat-Bulk. Energies are from PBE.

* space-group type: I4/mmm, No. 139
* magnetic moment: 0.424 μB per atom
* density: 9.9 g cm⁻³

abc: 5.906 5.906 5.906
angles: 139.76 139.76 58.22
Fractional coordinates of all 5 atoms:
U 0.000 0.000 0.000
Si 0.388 0.388 0.000
Si 0.612 0.612 0.000
Pd 0.250 0.750 0.500
Pd 0.750 0.250 0.500

two) (0.033 eV/atom below the next structure)

one) Here is a relaxed structure of Si2PdW from Alexandria via LeMat-Bulk. Energies are from PBE.

* space-group type: I-42d, No. 122
* magnetic moment: 0.000 μB per atom
* density: 9.1 g cm⁻³

abc: 5.495 5.495 5.495
angles: 106.18 106.18 116.28
Fractional coordinates of all 8 atoms:
Si 0.109 0.125 0.484
Si 0.375 0.891 0.016
Si 0.641 0.625 0.516
Si 0.875 0.359 0.984
Pd 0.000 0.000 0.000
Pd 0.750 0.250 0.500
W 0.250 0.750 0.500
W 0.500 0.500 0.000

two) Here is a relaxed structure of Si2PdW from Alexandria via LeMat-Bulk. Energies are from PBE.

* space-group type: Fm-3m, No. 225
* magnetic moment: 0.000 μB per atom
* density: 10.2 g cm⁻³

abc: 4.304 4.304 4.304
angles: 60.00 60.00 60.00
Fractional coordinates of all 4 atoms:
Si 0.250 0.250 0.250
Si 0.750 0.750 0.750
Pd 0.000 0.000 0.000
W 0.500 0.500 0.500

two) (0.397 eV/atom below the next structure)

one) Here is a relaxed structure of SiPdW3 from Alexandria via LeMat-Bulk. Energies are from PBE.

* space-group type: Pm-3m, No. 221
* magnetic moment: 0.000 μB per atom
* density: 12.8 g cm⁻³

abc: 4.468 4.468 4.468
angles: 90.00 90.00 90.00
Fractional coordinates of all 5 atoms:
Si 0.000 0.000 0.000
Pd 0.500 0.500 0.500
W 0.000 0.000 0.500
W 0.000 0.500 0.000
W 0.500 0.000 0.000

two) Here is a relaxed structure of SiPdW3 from Alexandria via LeMat-Bulk. Energies are from PBE.

* space-group type: Pm-3m, No. 221
* magnetic moment: 0.000 μB per atom
* density: 10.9 g cm⁻³

abc: 4.715 4.715 4.715
angles: 90.00 90.00 90.00
Fractional coordinates of all 5 atoms:
Si 0.000 0.000 0.000
Pd 0.500 0.500 0.500
W 0.000 0.500 0.500
W 0.500 0.000 0.500
W 0.500 0.500 0.000

one) (1.128 eV/atom below the next structure)

one) Here is a relaxed structure of YSi2Pd7 from Alexandria via LeMat-Bulk. Energies are from PBE.

* space-group type: I4/mmm, No. 139
* magnetic moment: 0.000 μB per atom
* density: 9.0 g cm⁻³

abc: 10.478 10.478 10.478
angles: 157.75 157.75 31.67
Fractional coordinates of all 10 atoms:
Y 0.000 0.000 0.000
Si 0.324 0.324 0.000
Si 0.676 0.676 0.000
Pd 0.108 0.608 0.500
Pd 0.250 0.750 0.500
Pd 0.392 0.892 0.500
Pd 0.500 0.500 0.000
Pd 0.608 0.108 0.500
Pd 0.750 0.250 0.500
Pd 0.892 0.392 0.500

two) Here is a relaxed structure of YSi2Pd7 from Alexandria via LeMat-Bulk. Energies are from PBE.

* space-group type: Cmmm, No. 65
* magnetic moment: 0.000 μB per atom
* density: 7.7 g cm⁻³

abc: 6.896 6.896 4.481
angles: 90.00 90.00 115.82
Fractional coordinates of all 10 atoms:
Y 0.000 0.000 0.000
Si 0.302 0.698 0.500
Si 0.698 0.302 0.500
Pd 0.062 0.320 0.500
Pd 0.244 0.756 0.000
Pd 0.320 0.062 0.500
Pd 0.500 0.500 0.500
Pd 0.680 0.938 0.500
Pd 0.756 0.244 0.000
Pd 0.938 0.680 0.500

one) (0.296 eV/atom below the next structure)

one) Here is a relaxed structure of YSi2Pd4 from Alexandria via LeMat-Bulk. Energies are from PBE.

* space-group type: P4_2/mnm, No. 136
* magnetic moment: 0.000 μB per atom
* density: 8.2 g cm⁻³

abc: 7.908 7.908 3.715
angles: 90.00 90.00 90.00
Fractional coordinates of all 14 atoms:
Y 0.000 0.000 0.000
Y 0.500 0.500 0.500
Si 0.226 0.226 0.500
Si 0.274 0.726 0.000
Si 0.726 0.274 0.000
Si 0.774 0.774 0.500
Pd 0.073 0.680 0.500
Pd 0.180 0.427 0.000
Pd 0.320 0.927 0.500
Pd 0.427 0.180 0.000
Pd 0.573 0.820 0.000
Pd 0.680 0.073 0.500
Pd 0.820 0.573 0.000
Pd 0.927 0.320 0.500

two) Here is a relaxed structure of YSi2Pd4 from Alexandria via LeMat-Bulk. Energies are from PBE.

* space-group type: Pnma, No. 62
* magnetic moment: 0.000 μB per atom
* density: 8.2 g cm⁻³

abc: 16.990 4.173 6.551
angles: 90.00 90.00 90.00
Fractional coordinates of all 28 atoms:
Y 0.140 0.250 0.027
Y 0.360 0.750 0.527
Y 0.640 0.250 0.473
Y 0.860 0.750 0.973
Si 0.041 0.750 0.258
Si 0.215 0.250 0.557
Si 0.285 0.750 0.057
Si 0.459 0.250 0.758
Si 0.541 0.750 0.242
Si 0.715 0.250 0.943
Si 0.785 0.750 0.443
Si 0.959 0.250 0.742
Pd 0.027 0.750 0.858
Pd 0.072 0.250 0.506
Pd 0.184 0.750 0.338
Pd 0.203 0.750 0.756
Pd 0.297 0.250 0.256
Pd 0.316 0.250 0.838
Pd 0.428 0.750 0.006
Pd 0.473 0.250 0.358
Pd 0.527 0.750 0.642
Pd 0.572 0.250 0.994
Pd 0.684 0.750 0.162
Pd 0.703 0.750 0.744
Pd 0.797 0.250 0.244
Pd 0.816 0.250 0.662
Pd 0.928 0.750 0.494
Pd 0.973 0.250 0.142

one) (0.044 eV/atom below the next structure)

one) Here is a relaxed structure of YSiPd3 from Alexandria via LeMat-Bulk. Energies are from PBE.

* space-group type: Pm-3m, No. 221
* magnetic moment: 0.000 μB per atom
* density: 7.5 g cm⁻³

abc: 4.595 4.595 4.595
angles: 90.00 90.00 90.00
Fractional coordinates of all 5 atoms:
Y 0.000 0.000 0.000
Si 0.500 0.500 0.500
Pd 0.000 0.500 0.500
Pd 0.500 0.000 0.500
Pd 0.500 0.500 0.000

two) Here is a relaxed structure of YSiPd3 from Alexandria via LeMat-Bulk. Energies are from PBE.

* space-group type: Pm-3m, No. 221
* magnetic moment: 0.000 μB per atom
* density: 5.7 g cm⁻³

abc: 5.022 5.022 5.022
angles: 90.00 90.00 90.00
Fractional coordinates of all 5 atoms:
Y 0.000 0.000 0.000
Si 0.500 0.500 0.500
Pd 0.000 0.000 0.500
Pd 0.000 0.500 0.000
Pd 0.500 0.000 0.000

one) (1.462 eV/atom below the next structure)